# 1
A plane-wave DFT calculation with PBE was carried out for a relaxed Pr12Cr3H5 crystal.

Geometry as POSCAR:
```
Pr12Cr3H5
1.0
-8.015 8.015 8.015
8.015 -8.015 8.015
8.015 8.015 -8.015
Pr Cr H
48 12 20
Direct
0.021 0.210 0.116
0.021 0.311 0.905
0.095 0.616 0.405
0.095 0.710 0.689
0.095 0.884 0.405
0.095 0.979 0.689
0.116 0.021 0.210
0.116 0.595 0.905
0.189 0.210 0.595
0.189 0.479 0.595
0.210 0.116 0.021
0.210 0.595 0.189
0.290 0.311 0.905
0.290 0.479 0.384
0.311 0.905 0.021
0.311 0.905 0.290
0.384 0.290 0.479
0.384 0.595 0.905
0.405 0.095 0.616
0.405 0.095 0.884
0.405 0.811 0.521
0.405 0.811 0.790
0.479 0.384 0.290
0.479 0.595 0.189
0.521 0.405 0.811
0.521 0.616 0.710
0.595 0.189 0.210
0.595 0.189 0.479
0.595 0.905 0.116
0.595 0.905 0.384
0.616 0.405 0.095
0.616 0.710 0.521
0.689 0.095 0.710
0.689 0.095 0.979
0.710 0.521 0.616
0.710 0.689 0.095
0.790 0.405 0.811
0.790 0.884 0.979
0.811 0.521 0.405
0.811 0.790 0.405
0.884 0.405 0.095
0.884 0.979 0.790
0.905 0.021 0.311
0.905 0.116 0.595
0.905 0.290 0.311
0.905 0.384 0.595
0.979 0.689 0.095
0.979 0.790 0.884
0.125 0.250 0.375
0.125 0.375 0.750
0.250 0.375 0.125
0.250 0.875 0.625
0.375 0.125 0.250
0.375 0.750 0.125
0.625 0.250 0.875
0.625 0.875 0.750
0.750 0.125 0.375
0.750 0.625 0.875
0.875 0.625 0.250
0.875 0.750 0.625
0.000 0.000 0.000
0.000 0.000 0.500
0.000 0.500 0.000
0.000 0.500 0.500
0.125 0.750 0.875
0.125 0.875 0.250
0.250 0.125 0.875
0.250 0.625 0.375
0.375 0.250 0.625
0.375 0.625 0.750
0.500 0.000 0.000
0.500 0.000 0.500
0.500 0.500 0.000
0.500 0.500 0.500
0.625 0.375 0.250
0.625 0.750 0.375
0.750 0.375 0.625
0.750 0.875 0.125
0.875 0.125 0.750
0.875 0.250 0.125
```

---

# 2
Be2Nb2VFe5, optimized geometry, DFT PBE; ΔE_f = -191 meV/atom
1.0
8.762 0.000 0.000
0.000 8.762 0.000
0.000 0.000 2.983
Be Nb V Fe
4 4 2 10
Direct
0.122 0.378 0.000
0.378 0.878 0.000
0.622 0.122 0.000
0.878 0.622 0.000
0.174 0.674 0.000
0.326 0.174 0.000
0.674 0.826 0.000
0.826 0.326 0.000
0.000 0.000 0.000
0.500 0.500 0.000
0.000 0.500 0.500
0.067 0.208 0.500
0.208 0.933 0.500
0.292 0.433 0.500
0.433 0.708 0.500
0.500 0.000 0.500
0.567 0.292 0.500
0.708 0.567 0.500
0.792 0.067 0.500
0.933 0.792 0.500

---

# 3
RbVAs2Se, optimized geometry, DFT PBE; ΔE_f (raw) = -1.12 eV per formula unit
1.0
4.868 0.000 0.000
0.000 4.868 0.000
0.000 0.000 5.105
Rb V As Se
1 1 2 1
Direct
0.000 0.000 0.000
0.500 0.500 0.500
0.000 0.500 0.500
0.500 0.000 0.500
0.500 0.500 0.000

---

Number 1: calculated volume 2060 Å³/cell, uncorrected energy -5.0868 eV per atom. Number 2: calculated volume 229 Å³/cell, uncorrected energy -8.0935 eV per atom. Number 3: calculated volume 121 Å³/cell, uncorrected energy -4.7982 eV per atom.